# 1
{"formula": "CaSm4Pb4", "functional": "PBE", "state": "relaxed", "cell": [[10.1675, 0.0000, 0.0000], [0.0000, 10.1675, 0.0000], [0.0000, 0.0000, 6.3524]], "species": ["Ca", "Ca", "Sm", "Sm", "Sm", "Sm", "Sm", "Sm", "Sm", "Sm", "Pb", "Pb", "Pb", "Pb", "Pb", "Pb", "Pb", "Pb"], "frac_coords": [[0.2500, 0.2500, 0.2500], [0.7500, 0.7500, 0.7500], [0.0921, 0.6481, 0.1412], [0.1481, 0.9079, 0.6412], [0.3519, 0.5921, 0.6412], [0.4079, 0.8519, 0.1412], [0.5921, 0.1481, 0.8588], [0.6481, 0.4079, 0.3588], [0.8519, 0.0921, 0.3588], [0.9079, 0.3519, 0.8588], [0.0336, 0.6172, 0.6495], [0.1172, 0.9664, 0.1495], [0.3828, 0.5336, 0.1495], [0.4664, 0.8828, 0.6495], [0.5336, 0.1172, 0.3505], [0.6172, 0.4664, 0.8505], [0.8828, 0.0336, 0.8505], [0.9664, 0.3828, 0.3505]], "rho_g_cm3": 7.44, "total_energy_ha_per_atom": -0.1573}

---

# 2
{"formula": "NaCe5Sb3", "functional": "PBE", "state": "relaxed", "cell": [[9.5033, 0.0000, 0.0000], [-4.7516, 8.2301, 0.0000], [0.0000, 0.0000, 6.4615]], "species": ["Na", "Na", "Ce", "Ce", "Ce", "Ce", "Ce", "Ce", "Ce", "Ce", "Ce", "Ce", "Sb", "Sb", "Sb", "Sb", "Sb", "Sb"], "frac_coords": [[0.0000, 0.0000, 0.0000], [0.0000, 0.0000, 0.5000], [0.0000, 0.3186, 0.2500], [0.0000, 0.6814, 0.7500], [0.3186, 0.0000, 0.2500], [0.3186, 0.3186, 0.7500], [0.3333, 0.6667, 0.0000], [0.3333, 0.6667, 0.5000], [0.6667, 0.3333, 0.0000], [0.6667, 0.3333, 0.5000], [0.6814, 0.0000, 0.7500], [0.6814, 0.6814, 0.2500], [0.0000, 0.3496, 0.7500], [0.0000, 0.6504, 0.2500], [0.3496, 0.0000, 0.7500], [0.3496, 0.3496, 0.2500], [0.6504, 0.0000, 0.2500], [0.6504, 0.6504, 0.7500]], "rho_g_cm3": 7.16, "raw_formation_energy_mev_per_atom": -663.0, "total_energy_ha_per_atom": -0.2014}

---

# 3
{"formula": "PIrWCl2", "functional": "PBE", "state": "relaxed", "cell": [[4.7880, 0.0000, 0.0000], [0.0000, 4.7880, 0.0000], [0.0000, 0.0000, 4.6407]], "species": ["P", "Ir", "W", "Cl", "Cl"], "frac_coords": [[0.0000, 0.0000, 0.0000], [0.0000, 0.0000, 0.5000], [0.5000, 0.5000, 0.0000], [0.0000, 0.5000, 0.5000], [0.5000, 0.0000, 0.5000]], "rho_g_cm3": 7.46, "de_polymorph_kj_per_mol_atoms": 13.6, "raw_formation_energy_mev_per_atom": 1326.2, "total_energy_ha_per_atom": -0.1785}

---

# 4
{"formula": "AgTeBr2", "functional": "PBE", "state": "relaxed", "cell": [[-3.9814, 3.9814, 3.4950], [3.9814, -3.9814, 3.4950], [3.9814, 3.9814, -3.4950]], "species": ["Ag", "Ag", "Te", "Te", "Br", "Br", "Br", "Br"], "frac_coords": [[0.0000, 0.0000, 0.0000], [0.7500, 0.2500, 0.5000], [0.2500, 0.7500, 0.5000], [0.5000, 0.5000, 0.0000], [0.0938, 0.6250, 0.9688], [0.3750, 0.3438, 0.4688], [0.6562, 0.1250, 0.0312], [0.8750, 0.9062, 0.5312]], "rho_g_cm3": 5.92, "de_polymorph_kj_per_mol_atoms": 29.7, "raw_formation_energy_mev_per_atom": 142.1, "total_energy_ha_per_atom": -0.0806}

---

# 5
{"formula": "KCo2As", "functional": "PBE", "state": "relaxed", "cell": [[-2.4125, 2.4125, 7.9366], [2.4125, -2.4125, 7.9366], [2.4125, 2.4125, -7.9366]], "species": ["K", "K", "Co", "Co", "Co", "Co", "As", "As"], "frac_coords": [[0.3750, 0.6250, 0.7500], [0.6250, 0.3750, 0.2500], [0.0000, 0.0000, 0.0000], [0.0000, 0.0000, 0.5000], [0.0000, 0.5000, 0.0000], [0.5000, 0.0000, 0.5000], [0.1250, 0.8750, 0.2500], [0.8750, 0.1250, 0.7500]], "rho_g_cm3": 4.17, "total_energy_ha_per_atom": -0.1712}

---

# 6
{"formula": "Sc2TaTlTe", "functional": "PBE", "state": "relaxed", "cell": [[5.3290, 0.0000, 0.0000], [0.0000, 5.3290, 0.0000], [0.0000, 0.0000, 5.2493]], "species": ["Sc", "Sc", "Ta", "Tl", "Te"], "frac_coords": [[0.0000, 0.5000, 0.0000], [0.5000, 0.0000, 0.0000], [0.0000, 0.0000, 0.5000], [0.0000, 0.0000, 0.0000], [0.5000, 0.5000, 0.5000]], "rho_g_cm3": 6.72, "raw_formation_energy_mev_per_atom": 884.6, "total_energy_ha_per_atom": -0.1882}

---

# 7
{"formula": "In2AgW", "functional": "PBE", "state": "relaxed", "cell": [[5.4654, -1.4959, 0.0000], [5.4654, 1.4959, 0.0000], [-1.8812, 0.0000, 4.7423]], "species": ["In", "In", "Ag", "W"], "frac_coords": [[0.0000, 0.0000, 0.0000], [0.2301, 0.2301, 0.5819], [0.7586, 0.7586, 0.1039], [0.4867, 0.4867, 0.5053]], "rho_g_cm3": 11.16, "de_polymorph_kj_per_mol_atoms": 1.0, "total_energy_ha_per_atom": -0.1803}

---

# 8
{"formula": "Ba4TeRh", "functional": "PBE", "state": "relaxed", "cell": [[8.1162, 0.0000, 0.0000], [-3.1356, 7.7820, 0.0000], [-2.4867, -3.8834, 9.7860]], "species": ["Ba", "Ba", "Ba", "Ba", "Ba", "Ba", "Ba", "Ba", "Te", "Te", "Rh", "Rh"], "frac_coords": [[0.0362, 0.3292, 0.1091], [0.1565, 0.9037, 0.3441], [0.3116, 0.5579, 0.6552], [0.4274, 0.2201, 0.8918], [0.5726, 0.7799, 0.1082], [0.6884, 0.4421, 0.3448], [0.8435, 0.0963, 0.6559], [0.9638, 0.6708, 0.8909], [0.0615, 0.8109, 0.6209], [0.9385, 0.1891, 0.3791], [0.1858, 0.4356, 0.8719], [0.8142, 0.5644, 0.1281]], "rho_g_cm3": 4.19, "de_polymorph_kj_per_mol_atoms": 0.0, "raw_formation_energy_mev_per_atom": -610.7, "total_energy_ha_per_atom": -0.1338}

---

# 9
{"formula": "ZnH2O2", "functional": "PBE", "state": "relaxed", "cell": [[3.3373, 0.0000, 0.0000], [0.0296, 8.0703, 0.0000], [1.5894, 3.8432, 11.7341]], "species": ["Zn", "Zn", "Zn", "Zn", "Zn", "Zn", "H", "H", "H", "H", "H", "H", "H", "H", "H", "H", "H", "H", "O", "O", "O", "O", "O", "O", "O", "O", "O", "O", "O", "O"], "frac_coords": [[0.0000, 0.0000, 0.0000], [0.0051, 0.5431, 0.9961], [0.0812, 0.8863, 0.7390], [0.6277, 0.4797, 0.6094], [0.7164, 0.8207, 0.3531], [0.7483, 0.3835, 0.3435], [0.0152, 0.2835, 0.5244], [0.0282, 0.5626, 0.7904], [0.0611, 0.2979, 0.7507], [0.2547, 0.1682, 0.3033], [0.2927, 0.7230, 0.0982], [0.2988, 0.9955, 0.2135], [0.3997, 0.0896, 0.8133], [0.4126, 0.3732, 0.1430], [0.4845, 0.2041, 0.0476], [0.6404, 0.0711, 0.5984], [0.6484, 0.8051, 0.5604], [0.7989, 0.6731, 0.2063], [0.0423, 0.7414, 0.0636], [0.0841, 0.4218, 0.7030], [0.1090, 0.0614, 0.8289], [0.2375, 0.9638, 0.2975], [0.2714, 0.2970, 0.2925], [0.4743, 0.4092, 0.0576], [0.4781, 0.0772, 0.0530], [0.6248, 0.9476, 0.6473], [0.6438, 0.7205, 0.5176], [0.6640, 0.6324, 0.2858], [0.7315, 0.3093, 0.5171], [0.9958, 0.6467, 0.8343]], "rho_g_cm3": 3.13, "total_energy_ha_per_atom": -0.1752}

---

# 10
{"formula": "YAlCr", "functional": "PBE", "state": "relaxed", "cell": [[4.0856, 0.0000, 0.0000], [0.4900, 4.4315, 0.0000], [2.0414, 0.0069, 6.8063]], "species": ["Y", "Y", "Al", "Al", "Cr", "Cr"], "frac_coords": [[0.1351, 0.4994, 0.2320], [0.8649, 0.5006, 0.7680], [0.3130, 0.0010, 0.8736], [0.6870, 0.9990, 0.1264], [0.3522, 0.8622, 0.4999], [0.6478, 0.1378, 0.5001]], "rho_g_cm3": 4.52, "total_energy_ha_per_atom": -0.2401}

---

# 11
{"formula": "CoReAu2", "functional": "PBE", "state": "relaxed", "cell": [[3.8859, 0.0000, 0.0000], [0.0000, 3.8859, 0.0000], [0.0000, 0.0000, 4.1438]], "species": ["Co", "Re", "Au", "Au"], "frac_coords": [[0.0000, 0.0000, 0.0000], [0.5000, 0.5000, 0.0000], [0.0000, 0.5000, 0.5000], [0.5000, 0.0000, 0.5000]], "rho_g_cm3": 16.96, "de_polymorph_kj_per_mol_atoms": 42.6, "total_energy_ha_per_atom": -0.2164}

---

# 12
{"formula": "YSeS2", "functional": "PBE", "state": "relaxed", "cell": [[-2.4482, 2.4482, 8.3209], [2.4482, -2.4482, 8.3209], [2.4482, 2.4482, -8.3209]], "species": ["Y", "Y", "Se", "Se", "S", "S", "S", "S"], "frac_coords": [[0.0000, 0.0000, 0.0000], [0.7500, 0.2500, 0.5000], [0.2500, 0.7500, 0.5000], [0.5000, 0.5000, 0.0000], [0.1281, 0.6250, 0.0031], [0.3750, 0.3781, 0.5031], [0.6219, 0.1250, 0.9969], [0.8750, 0.8719, 0.4969]], "rho_g_cm3": 3.86, "de_polymorph_kj_per_mol_atoms": 37.4, "raw_formation_energy_mev_per_atom": -627.2, "total_energy_ha_per_atom": -0.1903}

---

# 13
{"formula": "CsRe2Rh2", "functional": "PBE", "state": "relaxed", "cell": [[-1.8517, 1.8517, 8.1698], [1.8517, -1.8517, 8.1698], [1.8517, 1.8517, -8.1698]], "species": ["Cs", "Re", "Re", "Rh", "Rh"], "frac_coords": [[0.0000, 0.0000, 0.0000], [0.2500, 0.7500, 0.5000], [0.7500, 0.2500, 0.5000], [0.3627, 0.3627, 0.0000], [0.6373, 0.6373, 0.0000]], "rho_g_cm3": 10.54, "total_energy_ha_per_atom": -0.2686}

---

# 14
{"formula": "Zr5Ga4", "functional": "PBE", "state": "relaxed", "cell": [[8.4157, 0.0000, 0.0000], [-4.2078, 7.2882, 0.0000], [0.0000, 0.0000, 5.7610]], "species": ["Zr", "Zr", "Zr", "Zr", "Zr", "Zr", "Zr", "Zr", "Zr", "Zr", "Ga", "Ga", "Ga", "Ga", "Ga", "Ga", "Ga", "Ga"], "frac_coords": [[0.0000, 0.2779, 0.2500], [0.0000, 0.7221, 0.7500], [0.2779, 0.0000, 0.2500], [0.2779, 0.2779, 0.7500], [0.3333, 0.6667, 0.0000], [0.3333, 0.6667, 0.5000], [0.6667, 0.3333, 0.0000], [0.6667, 0.3333, 0.5000], [0.7221, 0.0000, 0.7500], [0.7221, 0.7221, 0.2500], [0.0000, 0.0000, 0.0000], [0.0000, 0.0000, 0.5000], [0.0000, 0.3787, 0.7500], [0.0000, 0.6213, 0.2500], [0.3787, 0.0000, 0.7500], [0.3787, 0.3787, 0.2500], [0.6213, 0.0000, 0.2500], [0.6213, 0.6213, 0.7500]], "rho_g_cm3": 6.91, "de_polymorph_kj_per_mol_atoms": 0.0, "total_energy_ha_per_atom": -0.2444}

---

# 15
{"formula": "MgTePd", "functional": "PBE", "state": "relaxed", "cell": [[7.3180, 0.0000, 0.0000], [0.0000, 4.1194, 0.0000], [0.0000, 0.0000, 8.6999]], "species": ["Mg", "Mg", "Mg", "Mg", "Te", "Te", "Te", "Te", "Pd", "Pd", "Pd", "Pd"], "frac_coords": [[0.0065, 0.2500, 0.1408], [0.4935, 0.7500, 0.6408], [0.5065, 0.2500, 0.3592], [0.9935, 0.7500, 0.8592], [0.1534, 0.7500, 0.3684], [0.3466, 0.2500, 0.8684], [0.6534, 0.7500, 0.1316], [0.8466, 0.2500, 0.6316], [0.2416, 0.2500, 0.5765], [0.2584, 0.7500, 0.0765], [0.7416, 0.2500, 0.9235], [0.7584, 0.7500, 0.4235]], "rho_g_cm3": 6.54, "raw_formation_energy_mev_per_atom": -506.0, "total_energy_ha_per_atom": -0.1402}